NiAsIrO6: optimized geometry, PBE+U.

The total energy is -6.0267 eV/atom. Its total magnetization is 3.69 μB per formula unit.

The structure belongs to space group P-31c (No. 163); the cell edges are 5.0427, 5.0427 and 8.7812 Å and the angles 90.00°, 90.00° and 120.00°. The distinct sites, in fractional coordinates, are Ni at (0.0000, 0.0000, 0.0000), As at (0.3333, 0.6667, 0.2500), Ir at (0.3333, 0.6667, 0.7500) and O at (0.0144, 0.3588, 0.1340).